# Sc4AlFe, relaxed, DFT PBE-GGA
data_Sc4AlFe
_chemical_formula_sum 'Sc16 Al4 Fe4'
_space_group_name_H-M_alt 'F -4 3 m'
_space_group_IT_number 216
_space_group_name_Hall 'F -4 2 3'
_cell_length_a 7.960
_cell_length_b 7.960
_cell_length_c 7.960
_cell_angle_alpha 90.00
_cell_angle_beta 90.00
_cell_angle_gamma 90.00
loop_
_atom_site_label
_atom_site_type_symbol
_atom_site_fract_x
_atom_site_fract_y
_atom_site_fract_z
Sc1 Sc 0.125 0.125 0.125
Al1 Al 0.250 0.250 0.750
Fe1 Fe 0.000 0.000 0.500
# Total magnetic moment, μB/f.u.: 2.49
# ΔE to the lowest computed polymorph, meV/atom: 655.3
# Calculated formation energy, eV/atom: 0.45

# ErTaRh2, relaxed, DFT PBE-GGA
data_ErTaRh2
_chemical_formula_sum 'Er3 Ta3 Rh6'
_space_group_name_H-M_alt 'R -3 m'
_space_group_IT_number 166
_space_group_name_Hall '-R 3 2"'
_cell_length_a 4.4308
_cell_length_b 4.4308
_cell_length_c 13.2370
_cell_angle_alpha 90.00
_cell_angle_beta 90.00
_cell_angle_gamma 120.00
loop_
_atom_site_label
_atom_site_type_symbol
_atom_site_fract_x
_atom_site_fract_y
_atom_site_fract_z
Er1 Er 0.0000 0.0000 0.0000
Ta1 Ta 0.0000 0.0000 0.5000
Rh1 Rh 0.0000 0.0000 0.2240
# Total magnetic moment, μB/f.u.: 0.00
# ΔE to the lowest computed polymorph, meV/atom: 98.0
# Calculated formation energy, eV/atom: -0.53

# CsKLi, relaxed, DFT PBE-GGA
data_CsKLi
_chemical_formula_sum 'Cs2 K2 Li2'
_space_group_name_H-M_alt 'I 4 m m'
_space_group_IT_number 107
_space_group_name_Hall 'I 4 -2'
_cell_length_a 4.868
_cell_length_b 4.868
_cell_length_c 16.498
_cell_angle_alpha 90.00
_cell_angle_beta 90.00
_cell_angle_gamma 90.00
loop_
_atom_site_label
_atom_site_type_symbol
_atom_site_fract_x
_atom_site_fract_y
_atom_site_fract_z
Cs1 Cs 0.000 0.000 0.000
K1 K 0.000 0.000 0.723
Li1 Li 0.000 0.000 0.335
# Total magnetic moment, μB/f.u.: 0.00
# ΔE to the lowest computed polymorph, meV/atom: 0.0
# Calculated formation energy, eV/atom: 0.14